# 1
BSb2Pb4, optimized geometry, DFT GGA-PBE; symmetry = I4/mmm (139); DOS(E_F) = 2.63 states/eV per cell; spin magnetization = 0.00 μB per formula unit; DFT total energy = -3.85 eV per atom
1.0
-0.615 -4.863 0.113
1.554 -0.088 4.649
-7.492 -1.406 5.062
Sb B Pb
2 1 4
Cartesian
-4.755 -4.186 6.680 Sb
-1.799 -2.171 3.145 Sb
0.000 0.000 0.000 B
-1.662 -4.602 5.638 Pb
0.777 -0.044 2.325 Pb
-4.892 -1.755 4.187 Pb
-0.308 -2.431 0.057 Pb



# 2
B2SbPb, optimized geometry, DFT GGA-PBE; symmetry = Fm-3m (225); DOS(E_F) = 1.86 states/eV per cell; spin magnetization = 0.00 μB per formula unit; DFT total energy = -3.72 eV per atom; energy relative to the lowest polymorph listed for this composition = 3.245 eV per formula unit
1.0
-3.131 0.701 3.364
-0.092 4.048 2.283
-3.512 2.970 -0.676
Sb B Pb
1 2 1
Cartesian
0.000 0.000 0.000 Sb
-1.684 1.930 1.243 B
-5.051 5.789 3.728 B
-3.367 3.860 2.485 Pb



# 3
SnB2SbPb, optimized geometry, DFT GGA-PBE; symmetry = P4/mmm (123); DOS(E_F) = 3.12 states/eV per cell; spin magnetization = 0.00 μB per formula unit; DFT total energy = -3.52 eV per atom
1.0
-2.142 3.386 2.182
-3.814 -4.040 2.525
2.845 -0.477 3.535
B Sn Sb Pb
2 1 1 1
Cartesian
-1.071 1.693 1.091 B
1.423 -0.239 1.767 B
-1.556 -0.566 4.121 Sn
0.000 0.000 0.000 Sb
-1.907 -2.020 1.263 Pb